No. 1
Density functional theory data (PBE-GGA) for a relaxed Pr8Co2Ru crystal.

Calculated values
- symmetry = C2/m (12)
- energy (eV/cell) = -62.15
- Fermi-level density of states (states/eV/atom) = 1.074
- M_tot (μB/atom) = 0.000

Cell lengths 3.891, 9.066, 9.636 Å; angles 93.79, 101.65, 90.00 degrees
Fractional coordinates of all 11 atoms:
Ru 0.500 0.000 0.000
Pr 0.350 0.040 0.699
Pr 0.650 0.960 0.301
Pr 0.011 0.218 0.023
Pr 0.989 0.782 0.977
Pr 0.600 0.546 0.201
Pr 0.400 0.454 0.799
Pr 0.224 0.328 0.447
Pr 0.776 0.672 0.553
Co 0.832 0.278 0.663
Co 0.168 0.722 0.337

---

No. 2
Density functional theory data (PBE-GGA) for a relaxed Zr2Bi2Pb crystal.

Calculated values
- distance to the lowest polymorph of the same formula (meV/atom) = 0
- symmetry = P4/mbm (127)
- energy (eV/cell) = -59.31
- Fermi-level density of states (states/eV/atom) = 0.576
- M_tot (μB/atom) = 0.000

Cell lengths 8.096, 8.096, 4.019 Å; angles 90.00, 90.00, 90.00 degrees
Fractional coordinates of all 10 atoms:
Pb 0.000 0.000 0.000
Pb 0.500 0.500 0.000
Zr 0.145 0.355 0.000
Zr 0.645 0.145 0.000
Zr 0.855 0.645 0.000
Zr 0.355 0.855 0.000
Bi 0.349 0.151 0.500
Bi 0.151 0.651 0.500
Bi 0.849 0.349 0.500
Bi 0.651 0.849 0.500

---

No. 3
Density functional theory data (PBE-GGA) for a relaxed HgPdBr6 crystal.

Calculated values
- distance to the lowest polymorph of the same formula (meV/atom) = 0
- symmetry = C2/m (12)
- energy (eV/cell) = -17.22
- Fermi-level density of states (states/eV/atom) = 0.111
- M_tot (μB/atom) = 0.000

Cell lengths 7.793, 6.901, 6.558 Å; angles 101.42, 107.67, 123.52 degrees
Fractional coordinates of all 8 atoms:
Br 0.434 0.165 0.320
Br 0.566 0.835 0.680
Br 0.281 0.563 0.000
Br 0.114 0.845 0.680
Br 0.719 0.437 0.000
Br 0.886 0.155 0.320
Pd 0.500 0.000 0.000
Hg 0.000 0.000 0.000

---

No. 4
Density functional theory data (PBE-GGA) for a relaxed PrGdZr crystal.

Calculated values
- distance to the lowest polymorph of the same formula (meV/atom) = 0
- symmetry = I4mm (107)
- energy (eV/cell) = -27.07
- Fermi-level density of states (states/eV/atom) = 1.416
- M_tot (μB/atom) = 2.420

Cell lengths 3.424, 3.424, 8.006 Å; angles 102.35, 102.35, 90.00 degrees
Each line ends with the local moment (μB).
Fractional coordinates of all 3 atoms:
Zr 0.670 0.670 0.340  -0.09
Pr 0.010 0.010 0.020  0.01
Gd 0.320 0.320 0.639  7.13

---

No. 5
Density functional theory data (PBE-GGA) for a relaxed CeDy2HoSc4 crystal.

Calculated values
- symmetry = P2/m (10)
- energy (eV/cell) = -44.52
- Fermi-level density of states (states/eV/atom) = 1.720
- M_tot (μB/atom) = 0.061

Cell lengths 3.403, 5.897, 11.100 Å; angles 79.68, 90.00, 90.00 degrees
Each line ends with the local moment (μB).
Fractional coordinates of all 8 atoms:
Ce 0.000 0.500 0.500  0.40
Sc 0.500 0.743 0.253  0.00
Sc 0.000 0.253 0.251  0.00
Sc 0.000 0.747 0.749  0.00
Sc 0.500 0.257 0.747  0.00
Dy 0.000 0.000 0.000  -0.01
Dy 0.500 0.000 0.500  0.01
Ho 0.500 0.500 0.000  -0.01

---

No. 6
Density functional theory data (PBE-GGA) for a relaxed Pr6Dy2Y crystal.

Calculated values
- distance to the lowest polymorph of the same formula (meV/atom) = 46
- symmetry = Cmmm (65)
- energy (eV/cell) = -43.21
- Fermi-level density of states (states/eV/atom) = 1.407
- M_tot (μB/atom) = 0.000

Cell lengths 3.694, 10.138, 10.138 Å; angles 55.94, 90.00, 90.00 degrees
Fractional coordinates of all 9 atoms:
Pr 0.000 0.159 0.510
Pr 0.000 0.841 0.490
Pr 0.500 0.317 0.683
Pr 0.000 0.490 0.841
Pr 0.000 0.510 0.159
Pr 0.500 0.683 0.317
Dy 0.500 0.824 0.824
Dy 0.500 0.176 0.176
Y 0.000 0.000 0.000

---

No. 7
Density functional theory data (PBE-GGA) for a relaxed TiCu3Pt6 crystal.

Calculated values
- symmetry = P2_1/m (11)
- energy (eV/cell) = -121.22
- Fermi-level density of states (states/eV/atom) = 0.620
- M_tot (μB/atom) = 0.000

Cell lengths 3.933, 8.438, 8.829 Å; angles 93.33, 90.00, 90.00 degrees
Fractional coordinates of all 20 atoms:
Pt 0.750 0.364 0.308
Pt 0.250 0.854 0.305
Pt 0.750 0.146 0.695
Pt 0.250 0.155 0.207
Pt 0.250 0.636 0.692
Pt 0.750 0.749 0.492
Pt 0.750 0.545 0.900
Pt 0.750 0.845 0.793
Pt 0.750 0.944 0.098
Pt 0.250 0.056 0.902
Pt 0.250 0.455 0.100
Pt 0.250 0.251 0.508
Cu 0.250 0.553 0.396
Cu 0.750 0.652 0.194
Cu 0.750 0.254 0.001
Cu 0.250 0.746 0.999
Cu 0.250 0.348 0.806
Cu 0.750 0.447 0.604
Ti 0.250 0.937 0.617
Ti 0.750 0.063 0.383

---

No. 8
Density functional theory data (PBE-GGA) for a relaxed Cd2Ga4Sn crystal.

Calculated values
- symmetry = I4/mmm (139)
- energy (eV/cell) = -15.45
- Fermi-level density of states (states/eV/atom) = 0.315
- M_tot (μB/atom) = 0.000

Cell lengths 5.344, 5.344, 8.022 Å; angles 70.54, 70.54, 90.00 degrees
Fractional coordinates of all 7 atoms:
Ga 0.000 0.500 0.000
Ga 0.200 0.200 0.601
Ga 0.800 0.800 0.399
Ga 0.500 0.000 0.000
Sn 0.000 0.000 0.000
Cd 0.392 0.392 0.215
Cd 0.608 0.608 0.785

---

> The highest Fermi-level density of states belongs to which entry?

CeDy2HoSc4

---

> Which formula does entry 7 have?

TiCu3Pt6

---

> energy of number 2 (Zr2Bi2Pb)?

-59.31 eV/cell